DyMg2Pb (PBE-GGA, relaxed); excess energy over the best structure of this formula in the dataset = 201 meV per atom
1.0
3.564 0.000 0.000
0.000 3.564 0.000
0.000 0.000 8.400
Dy Mg Pb
1 2 1
Cartesian
0.000 0.000 0.000
1.782 1.782 2.206
1.782 1.782 6.194
0.000 0.000 4.200

=====

DFT (PBE-GGA) results for FeCoNi2 after structural relaxation.

Cell and atoms, written as POSCAR:
```
FeCoNi2
1.0
0.000 2.775 2.775
2.775 0.000 2.775
2.775 2.775 0.000
Fe Co Ni
1 1 2
Cartesian
0.000 0.000 0.000
2.775 2.775 2.775
1.388 1.388 1.388
4.163 4.163 4.163
```

=====

Number 1: raw total energy -2.975 eV/atom, energy of formation from the pure elements -0.100 eV/atom. Number 2: raw total energy -6.450 eV/atom, energy of formation from the pure elements 0.333 eV/atom.